# 1
# KBiF3

A geometry-optimized KBiF3 structure (PBE, Alexandria via LeMat-Bulk).

Cell lengths 3.506, 7.380, 7.772 Å; angles 90.05, 90.22, 90.84 degrees
Sites, in units of the cell vectors:
K1 0.007 0.250 0.360
K2 0.993 0.750 0.640
Bi1 0.497 0.750 0.105
Bi2 0.503 0.250 0.895
F1 0.491 0.750 0.391
F2 0.493 0.561 0.836
F3 0.497 0.939 0.835
F4 0.503 0.061 0.165
F5 0.507 0.439 0.164
F6 0.509 0.250 0.609

Results
- E: -0.33079 Ry per atom
- Size of the total moment: 0.0 μB per formula unit
- Mass density: 5.039 g/cm3
- Calculated volume: 20.11 Å³/atom

***

# 2
# K2BiF5

A geometry-optimized K2BiF5 structure (PBE, Alexandria via LeMat-Bulk).

Cell lengths 6.614, 6.614, 7.377 Å; angles 90.00, 90.00, 90.00 degrees
Sites, in units of the cell vectors:
K1 0.000 0.500 0.000
K2 0.000 0.500 0.500
K3 0.500 0.000 0.000
K4 0.500 0.000 0.500
Bi1 0.000 0.000 0.230
Bi2 0.500 0.500 0.730
F1 0.000 0.000 0.509
F2 0.235 0.235 0.274
F3 0.235 0.765 0.274
F4 0.265 0.265 0.774
F5 0.265 0.735 0.774
F6 0.500 0.500 0.010
F7 0.735 0.265 0.774
F8 0.735 0.735 0.774
F9 0.765 0.235 0.274
F10 0.765 0.765 0.274

Results
- E: -0.32775 Ry per atom
- Size of the total moment: 0.0 μB per formula unit
- Mass density: 3.933 g/cm3
- Calculated volume: 20.17 Å³/atom

***

# 3
# K2BiF5

A geometry-optimized K2BiF5 structure (PBE, Alexandria via LeMat-Bulk).

Cell lengths 11.668, 7.557, 6.682 Å; angles 90.00, 90.00, 90.00 degrees
Sites, in units of the cell vectors:
K1 0.170 0.000 0.000
K2 0.170 0.500 0.000
K3 0.330 0.000 0.500
K4 0.330 0.500 0.500
K5 0.670 0.000 0.500
K6 0.670 0.500 0.500
K7 0.830 0.000 0.000
K8 0.830 0.500 0.000
Bi1 0.045 0.250 0.443
Bi2 0.455 0.750 0.943
Bi3 0.545 0.250 0.057
Bi4 0.955 0.750 0.557
F1 0.013 0.750 0.885
F2 0.095 0.546 0.395
F3 0.095 0.954 0.395
F4 0.168 0.250 0.702
F5 0.215 0.250 0.281
F6 0.285 0.750 0.781
F7 0.332 0.750 0.202
F8 0.405 0.046 0.895
F9 0.405 0.454 0.895
F10 0.487 0.250 0.385
F11 0.513 0.750 0.615
F12 0.595 0.546 0.105
F13 0.595 0.954 0.105
F14 0.668 0.250 0.798
F15 0.715 0.250 0.219
F16 0.785 0.750 0.719
F17 0.832 0.750 0.298
F18 0.905 0.046 0.605
F19 0.905 0.454 0.605
F20 0.987 0.250 0.115

Results
- E: -0.33882 Ry per atom
- Size of the total moment: 0.0 μB per formula unit
- Mass density: 4.308 g/cm3
- Calculated volume: 18.41 Å³/atom

***

# 4
# K2BiF

A geometry-optimized K2BiF structure (PBE, Alexandria via LeMat-Bulk).

Cell lengths 3.430, 3.430, 8.895 Å; angles 90.00, 90.00, 90.00 degrees
Sites, in units of the cell vectors:
K1 0.000 0.000 0.179
K2 0.000 0.000 0.821
Bi1 0.500 0.500 0.500
F1 0.500 0.500 0.000

Results
- E: -0.25212 Ry per atom
- Size of the total moment: 0.0 μB per formula unit
- Mass density: 4.859 g/cm3
- Calculated volume: 26.16 Å³/atom

***

# 5
# K2BiF4

A geometry-optimized K2BiF4 structure (PBE, Alexandria via LeMat-Bulk).

Cell lengths 4.946, 4.946, 13.335 Å; angles 90.00, 90.00, 90.00 degrees
Sites, in units of the cell vectors:
K1 0.000 0.000 0.139
K2 0.000 0.000 0.861
K3 0.500 0.500 0.361
K4 0.500 0.500 0.639
Bi1 0.000 0.000 0.500
Bi2 0.500 0.500 0.000
F1 0.000 0.000 0.326
F2 0.000 0.000 0.674
F3 0.000 0.500 0.000
F4 0.000 0.500 0.500
F5 0.500 0.000 0.000
F6 0.500 0.000 0.500
F7 0.500 0.500 0.174
F8 0.500 0.500 0.826

Results
- E: -0.30857 Ry per atom
- Size of the total moment: 0.3 μB per formula unit
- Mass density: 3.697 g/cm3
- Calculated volume: 23.30 Å³/atom

***

# 6
# KBi2F7

A geometry-optimized KBi2F7 structure (PBE, Alexandria via LeMat-Bulk).

Cell lengths 4.163, 4.166, 11.731 Å; angles 81.75, 81.86, 60.30 degrees
Sites, in units of the cell vectors:
K1 0.000 0.000 0.000
Bi1 0.421 0.419 0.700
Bi2 0.577 0.578 0.303
F1 0.073 0.071 0.745
F2 0.265 0.268 0.261
F3 0.367 0.366 0.892
F4 0.488 0.487 0.501
F5 0.632 0.633 0.111
F6 0.760 0.759 0.668
F7 0.912 0.914 0.332

Results
- E: -0.34825 Ry per atom
- Size of the total moment: 0.0 μB per formula unit
- Mass density: 5.620 g/cm3
- Calculated volume: 17.43 Å³/atom

***

# 7
# K2BiF

A geometry-optimized K2BiF structure (PBE, Alexandria via LeMat-Bulk).

Cell lengths 8.232, 8.232, 8.232 Å; angles 90.00, 90.00, 90.00 degrees
Sites, in units of the cell vectors:
K1 0.250 0.250 0.250
K2 0.250 0.250 0.750
K3 0.250 0.750 0.250
K4 0.250 0.750 0.750
K5 0.750 0.250 0.250
K6 0.750 0.250 0.750
K7 0.750 0.750 0.250
K8 0.750 0.750 0.750
Bi1 0.000 0.000 0.000
Bi2 0.000 0.500 0.500
Bi3 0.500 0.000 0.500
Bi4 0.500 0.500 0.000
F1 0.000 0.000 0.500
F2 0.000 0.500 0.000
F3 0.500 0.000 0.000
F4 0.500 0.500 0.500

Results
- E: -0.20486 Ry per atom
- Size of the total moment: 2.0 μB per formula unit
- Mass density: 3.645 g/cm3
- Calculated volume: 34.87 Å³/atom

***

# 8
# K12Bi3F5

A geometry-optimized K12Bi3F5 structure (PBE, Alexandria via LeMat-Bulk).

Cell lengths 15.535, 15.535, 15.535 Å; angles 109.47, 109.47, 109.47 degrees
Sites, in units of the cell vectors:
K1 0.014 0.197 0.113
K2 0.014 0.317 0.901
K3 0.084 0.697 0.683
K4 0.084 0.887 0.401
K5 0.099 0.613 0.416
K6 0.099 0.986 0.683
K7 0.113 0.014 0.197
K8 0.113 0.599 0.916
K9 0.183 0.197 0.584
K10 0.183 0.486 0.599
K11 0.197 0.113 0.014
K12 0.197 0.584 0.183
K13 0.303 0.317 0.916
K14 0.303 0.486 0.387
K15 0.317 0.901 0.014
K16 0.317 0.916 0.303
K17 0.387 0.303 0.486
K18 0.387 0.584 0.901
K19 0.401 0.084 0.887
K20 0.401 0.817 0.514
K21 0.416 0.099 0.613
K22 0.416 0.817 0.803
K23 0.486 0.387 0.303
K24 0.486 0.599 0.183
K25 0.514 0.401 0.817
K26 0.514 0.613 0.697
K27 0.584 0.183 0.197
K28 0.584 0.901 0.387
K29 0.599 0.183 0.486
K30 0.599 0.916 0.113
K31 0.613 0.416 0.099
K32 0.613 0.697 0.514
K33 0.683 0.084 0.697
K34 0.683 0.099 0.986
K35 0.697 0.514 0.613
K36 0.697 0.683 0.084
K37 0.803 0.416 0.817
K38 0.803 0.887 0.986
K39 0.817 0.514 0.401
K40 0.817 0.803 0.416
K41 0.887 0.401 0.084
K42 0.887 0.986 0.803
K43 0.901 0.014 0.317
K44 0.901 0.387 0.584
K45 0.916 0.113 0.599
K46 0.916 0.303 0.317
K47 0.986 0.683 0.099
K48 0.986 0.803 0.887
Bi1 0.125 0.250 0.375
Bi2 0.125 0.375 0.750
Bi3 0.250 0.375 0.125
Bi4 0.250 0.875 0.625
Bi5 0.375 0.125 0.250
Bi6 0.375 0.750 0.125
Bi7 0.625 0.250 0.875
Bi8 0.625 0.875 0.750
Bi9 0.750 0.125 0.375
Bi10 0.750 0.625 0.875
Bi11 0.875 0.625 0.250
Bi12 0.875 0.750 0.625
F1 0.000 0.000 0.000
F2 0.000 0.000 0.500
F3 0.000 0.500 0.000
F4 0.000 0.500 0.500
F5 0.125 0.750 0.875
F6 0.125 0.875 0.250
F7 0.250 0.125 0.875
F8 0.250 0.625 0.375
F9 0.375 0.250 0.625
F10 0.375 0.625 0.750
F11 0.500 0.000 0.000
F12 0.500 0.000 0.500
F13 0.500 0.500 0.000
F14 0.500 0.500 0.500
F15 0.625 0.375 0.250
F16 0.625 0.750 0.375
F17 0.750 0.375 0.625
F18 0.750 0.875 0.125
F19 0.875 0.125 0.750
F20 0.875 0.250 0.125

Results
- E: -0.23092 Ry per atom
- Size of the total moment: 1.2 μB per formula unit
- Mass density: 2.741 g/cm3
- Calculated volume: 36.07 Å³/atom

***

# 9
# K3BiF6

A geometry-optimized K3BiF6 structure (PBE, Alexandria via LeMat-Bulk).

Cell lengths 6.474, 6.740, 11.204 Å; angles 90.00, 124.17, 90.00 degrees
Sites, in units of the cell vectors:
K1 0.000 0.000 0.000
K2 0.000 0.500 0.500
K3 0.223 0.053 0.742
K4 0.223 0.447 0.242
K5 0.777 0.553 0.758
K6 0.777 0.947 0.258
Bi1 0.500 0.000 0.500
Bi2 0.500 0.500 0.000
F1 0.161 0.181 0.447
F2 0.161 0.319 0.947
F3 0.245 0.726 0.420
F4 0.245 0.774 0.920
F5 0.397 0.068 0.272
F6 0.397 0.432 0.772
F7 0.603 0.568 0.228
F8 0.603 0.932 0.728
F9 0.755 0.226 0.080
F10 0.755 0.274 0.580
F11 0.839 0.681 0.053
F12 0.839 0.819 0.553

Results
- E: -0.33347 Ry per atom
- Size of the total moment: 0.0 μB per formula unit
- Mass density: 3.615 g/cm3
- Calculated volume: 20.22 Å³/atom

***

# 10
# K2BiF

A geometry-optimized K2BiF structure (PBE, Alexandria via LeMat-Bulk).

Cell lengths 7.806, 7.806, 9.228 Å; angles 90.00, 90.00, 90.00 degrees
Sites, in units of the cell vectors:
K1 0.129 0.250 0.125
K2 0.250 0.629 0.375
K3 0.250 0.871 0.875
K4 0.371 0.250 0.625
K5 0.629 0.750 0.625
K6 0.750 0.129 0.875
K7 0.750 0.371 0.375
K8 0.871 0.750 0.125
Bi1 0.000 0.000 0.500
Bi2 0.000 0.500 0.750
Bi3 0.500 0.000 0.250
Bi4 0.500 0.500 0.000
F1 0.000 0.000 0.000
F2 0.000 0.500 0.250
F3 0.500 0.000 0.750
F4 0.500 0.500 0.500

Results
- E: -0.23679 Ry per atom
- Size of the total moment: 0.0 μB per formula unit
- Mass density: 3.617 g/cm3
- Calculated volume: 35.14 Å³/atom

***

# 11
# K2BiF5

A geometry-optimized K2BiF5 structure (PBE, Alexandria via LeMat-Bulk).

Cell lengths 11.058, 7.590, 6.749 Å; angles 90.00, 90.00, 90.00 degrees
Sites, in units of the cell vectors:
K1 0.171 0.003 0.034
K2 0.171 0.497 0.034
K3 0.329 0.503 0.534
K4 0.329 0.997 0.534
K5 0.671 0.003 0.466
K6 0.671 0.497 0.466
K7 0.829 0.503 0.966
K8 0.829 0.997 0.966
Bi1 0.004 0.250 0.564
Bi2 0.496 0.750 0.064
Bi3 0.504 0.250 0.936
Bi4 0.996 0.750 0.436
F1 0.012 0.250 0.904
F2 0.079 0.535 0.653
F3 0.079 0.965 0.653
F4 0.174 0.250 0.366
F5 0.195 0.750 0.337
F6 0.305 0.250 0.837
F7 0.326 0.750 0.866
F8 0.421 0.035 0.153
F9 0.421 0.465 0.153
F10 0.488 0.750 0.404
F11 0.512 0.250 0.596
F12 0.579 0.535 0.847
F13 0.579 0.965 0.847
F14 0.674 0.250 0.134
F15 0.695 0.750 0.163
F16 0.805 0.250 0.663
F17 0.826 0.750 0.634
F18 0.921 0.035 0.347
F19 0.921 0.465 0.347
F20 0.988 0.750 0.096

Results
- E: -0.33870 Ry per atom
- Size of the total moment: 0.0 μB per formula unit
- Mass density: 4.481 g/cm3
- Calculated volume: 17.70 Å³/atom

***

# 12
# KBiF3

A geometry-optimized KBiF3 structure (PBE, Alexandria via LeMat-Bulk).

Cell lengths 4.818, 4.818, 4.818 Å; angles 90.00, 90.00, 90.00 degrees
Sites, in units of the cell vectors:
K1 0.000 0.000 0.000
Bi1 0.500 0.500 0.500
F1 0.000 0.500 0.500
F2 0.500 0.000 0.500
F3 0.500 0.500 0.000

Results
- E: -0.30898 Ry per atom
- Size of the total moment: 0.0 μB per formula unit
- Mass density: 4.531 g/cm3
- Calculated volume: 22.36 Å³/atom

***

# 13
# KBiF3

A geometry-optimized KBiF3 structure (PBE, Alexandria via LeMat-Bulk).

Cell lengths 4.627, 4.627, 4.627 Å; angles 90.00, 90.00, 90.00 degrees
Sites, in units of the cell vectors:
K1 0.000 0.000 0.000
Bi1 0.500 0.500 0.500
F1 0.000 0.000 0.500
F2 0.000 0.500 0.000
F3 0.500 0.000 0.000

Results
- E: -0.25913 Ry per atom
- Size of the total moment: 0.0 μB per formula unit
- Mass density: 5.115 g/cm3
- Calculated volume: 19.81 Å³/atom

***

# 14
# KBi2F7

A geometry-optimized KBi2F7 structure (PBE, Alexandria via LeMat-Bulk).

Cell lengths 6.897, 6.897, 4.519 Å; angles 90.00, 90.00, 115.53 degrees
Sites, in units of the cell vectors:
K1 0.000 0.000 0.000
Bi1 0.303 0.697 0.500
Bi2 0.697 0.303 0.500
F1 0.046 0.329 0.500
F2 0.275 0.725 0.000
F3 0.329 0.046 0.500
F4 0.500 0.500 0.500
F5 0.671 0.954 0.500
F6 0.725 0.275 0.000
F7 0.954 0.671 0.500

Results
- E: -0.34879 Ry per atom
- Size of the total moment: 0.0 μB per formula unit
- Mass density: 5.052 g/cm3
- Calculated volume: 19.40 Å³/atom

***

# 15
# K3BiF6

A geometry-optimized K3BiF6 structure (PBE, Alexandria via LeMat-Bulk).

Cell lengths 6.770, 6.770, 6.770 Å; angles 60.00, 60.00, 60.00 degrees
Sites, in units of the cell vectors:
K1 0.000 0.000 0.000
K2 0.250 0.250 0.250
K3 0.750 0.750 0.750
Bi1 0.500 0.500 0.500
F1 0.264 0.264 0.736
F2 0.264 0.736 0.264
F3 0.264 0.736 0.736
F4 0.736 0.264 0.264
F5 0.736 0.264 0.736
F6 0.736 0.736 0.264

Results
- E: -0.32759 Ry per atom
- Size of the total moment: 0.0 μB per formula unit
- Mass density: 3.331 g/cm3
- Calculated volume: 21.94 Å³/atom

***

# 16
# K2BiF6

A geometry-optimized K2BiF6 structure (PBE, Alexandria via LeMat-Bulk).

Cell lengths 5.751, 5.751, 11.733 Å; angles 90.00, 90.00, 90.00 degrees
Sites, in units of the cell vectors:
K1 0.000 0.000 0.164
K2 0.000 0.000 0.836
K3 0.500 0.500 0.336
K4 0.500 0.500 0.664
Bi1 0.000 0.000 0.500
Bi2 0.500 0.500 0.000
F1 0.179 0.179 0.362
F2 0.179 0.179 0.638
F3 0.233 0.233 0.000
F4 0.267 0.733 0.500
F5 0.321 0.679 0.138
F6 0.321 0.679 0.862
F7 0.679 0.321 0.138
F8 0.679 0.321 0.862
F9 0.733 0.267 0.500
F10 0.767 0.767 0.000
F11 0.821 0.821 0.362
F12 0.821 0.821 0.638

Results
- E: -0.32410 Ry per atom
- Size of the total moment: 1.0 μB per formula unit
- Mass density: 3.433 g/cm3
- Calculated volume: 21.56 Å³/atom

***

# 17
# KBi3F10

A geometry-optimized KBi3F10 structure (PBE, Alexandria via LeMat-Bulk).

Cell lengths 8.557, 8.557, 8.557 Å; angles 60.00, 60.00, 60.00 degrees
Sites, in units of the cell vectors:
K1 0.250 0.250 0.250
K2 0.750 0.750 0.750
Bi1 0.241 0.241 0.759
Bi2 0.241 0.759 0.241
Bi3 0.241 0.759 0.759
Bi4 0.759 0.241 0.241
Bi5 0.759 0.241 0.759
Bi6 0.759 0.759 0.241
F1 0.115 0.115 0.115
F2 0.115 0.115 0.656
F3 0.115 0.656 0.115
F4 0.171 0.500 0.500
F5 0.171 0.500 0.829
F6 0.171 0.829 0.500
F7 0.344 0.885 0.885
F8 0.500 0.171 0.500
F9 0.500 0.171 0.829
F10 0.500 0.500 0.171
F11 0.500 0.500 0.829
F12 0.500 0.829 0.171
F13 0.500 0.829 0.500
F14 0.656 0.115 0.115
F15 0.829 0.171 0.500
F16 0.829 0.500 0.171
F17 0.829 0.500 0.500
F18 0.885 0.344 0.885
F19 0.885 0.885 0.344
F20 0.885 0.885 0.885

Results
- E: -0.35223 Ry per atom
- Size of the total moment: 0.0 μB per formula unit
- Mass density: 6.417 g/cm3
- Calculated volume: 15.82 Å³/atom